# NbCdTe PBE-GGA relaxed
data_NbCdTe
_space_group_name_H-M_alt 'F -4 3 m'
_space_group_IT_number 216
_space_group_name_Hall 'F -4 2 3'
_cell_length_a 6.711
_cell_length_b 6.711
_cell_length_c 6.711
_cell_angle_alpha 90.00
_cell_angle_beta 90.00
_cell_angle_gamma 90.00
loop_
_atom_site_label
_atom_site_fract_x
_atom_site_fract_y
_atom_site_fract_z
Nb1 0.000 0.000 0.000
Cd1 0.250 0.250 0.750
Te1 0.250 0.250 0.250
# - total magnetization (μB/cell) = 4.79
# - energy (eV per atom) = -4.30
# - mass density (Mg/m³) = 7.3
# - relative energy among the computed polymorphs (meV per atom) = 0